Entry 1:
{
  "formula": "CrC",
  "functional": "PBE",
  "state": "relaxed",
  "total_magnetization_mub_per_cell": 0.393,
  "density_kg_m3": 5092,
  "dos_at_fermi_per_ev_atom": 0.85,
  "energy_ev_per_atom": -8.839,
  "cell": [[3.739, 0.000, 0.000], [0.000, 3.739, 0.000], [0.000, 0.000, 2.986]],
  "species": ["Cr", "Cr", "C", "C"],
  "fractional_positions": [[0.250, 0.750, 0.000], [0.750, 0.250, 0.000], [0.250, 0.250, 0.159], [0.750, 0.750, 0.841]]
}

Entry 2:
{
  "formula": "Cr5C7",
  "functional": "PBE",
  "state": "relaxed",
  "total_magnetization_mub_per_cell": 1.404,
  "density_kg_m3": 5495,
  "dos_at_fermi_per_ev_atom": 0.62,
  "energy_ev_per_atom": -8.880,
  "cell": [[-3.138, 3.138, 2.640], [3.138, -3.138, 2.640], [3.138, 3.138, -2.640]],
  "species": ["Cr", "Cr", "Cr", "Cr", "Cr", "C", "C", "C", "C", "C", "C", "C"],
  "fractional_positions": [[0.000, 0.000, 0.000], [0.372, 0.372, 0.603], [0.372, 0.769, 0.000], [0.769, 0.372, 0.000], [0.769, 0.769, 0.397], [0.167, 0.869, 0.297], [0.365, 0.365, 0.000], [0.463, 0.963, 0.500], [0.572, 0.869, 0.703], [0.869, 0.167, 0.297], [0.869, 0.572, 0.703], [0.963, 0.463, 0.500]]
}

Entry 3:
{
  "formula": "CrC3",
  "functional": "PBE",
  "state": "relaxed",
  "total_magnetization_mub_per_cell": 0.000,
  "density_kg_m3": 5277,
  "dos_at_fermi_per_ev_atom": 0.51,
  "e_above_lowest_polymorph_mev_per_atom": 944,
  "energy_ev_per_atom": -7.670,
  "cell": [[2.529, 0.000, 0.000], [-1.265, 2.190, 0.000], [0.000, 0.000, 14.999]],
  "species": ["Cr", "Cr", "Cr", "C", "C", "C", "C", "C", "C", "C", "C", "C"],
  "fractional_positions": [[0.000, 0.000, 0.000], [0.333, 0.667, 0.667], [0.667, 0.333, 0.333], [0.000, 0.000, 0.233], [0.000, 0.000, 0.500], [0.000, 0.000, 0.767], [0.333, 0.667, 0.167], [0.333, 0.667, 0.434], [0.333, 0.667, 0.900], [0.667, 0.333, 0.100], [0.667, 0.333, 0.566], [0.667, 0.333, 0.833]]
}

Entry 4:
{
  "formula": "CrC3",
  "functional": "PBE",
  "state": "relaxed",
  "total_magnetization_mub_per_cell": 3.425,
  "density_kg_m3": 4590,
  "dos_at_fermi_per_ev_atom": 0.35,
  "e_above_lowest_polymorph_mev_per_atom": 201,
  "energy_ev_per_atom": -8.413,
  "cell": [[7.334, 0.000, 0.000], [0.000, 2.624, 0.000], [-1.822, 0.000, 3.310]],
  "species": ["Cr", "Cr", "C", "C", "C", "C", "C", "C"],
  "fractional_positions": [[0.000, 0.000, 0.000], [0.500, 0.500, 0.000], [0.000, 0.500, 0.500], [0.192, 0.500, 0.491], [0.308, 0.000, 0.509], [0.500, 0.000, 0.500], [0.692, 0.000, 0.491], [0.808, 0.500, 0.509]]
}